! V3Ir (GGA-PBE, relaxed); values from VASP
&SYSTEM
  ibrav = 0, nat = 8, ntyp = 2
/
ATOMIC_SPECIES
V 50.94 V.upf
Ir 192.22 Ir.upf
CELL_PARAMETERS angstrom
4.7877 0.0000 0.0000
0.0000 4.7877 0.0000
0.0000 0.0000 4.7877
ATOMIC_POSITIONS angstrom
V 2.3938 1.1969 0.0000
V 2.3938 3.5908 0.0000
V 1.1969 0.0000 2.3938
V 3.5908 0.0000 2.3938
V 0.0000 2.3938 1.1969
V 0.0000 2.3938 3.5908
Ir 2.3938 2.3938 2.3938
Ir 0.0000 0.0000 0.0000
! total DFT energy (no corrections) = -9.541 eV/atom
! theoretical density = 10.44 g/cm³
! formation enthalpy at 0 K = -487 meV/atom

---

! V3Ir (GGA-PBE, relaxed); values from VASP
&SYSTEM
  ibrav = 0, nat = 4, ntyp = 2
/
ATOMIC_SPECIES
Ir 192.22 Ir.upf
V 50.94 V.upf
CELL_PARAMETERS angstrom
4.2488 0.0000 0.0000
2.1244 3.6795 0.0000
2.1244 1.2265 3.4691
ATOMIC_POSITIONS angstrom
Ir 4.2488 2.4530 1.7346
V 0.0000 0.0000 0.0000
V 6.3732 3.6795 2.6018
V 2.1244 1.2265 0.8673
! total DFT energy (no corrections) = -9.457 eV/atom
! theoretical density = 10.56 g/cm³
! formation enthalpy at 0 K = -402 meV/atom

---

! VIr (GGA-PBE, relaxed); values from VASP
&SYSTEM
  ibrav = 0, nat = 4, ntyp = 2
/
ATOMIC_SPECIES
V 50.94 V.upf
Ir 192.22 Ir.upf
CELL_PARAMETERS angstrom
-1.8181 -1.9720 -0.8533
3.4073 -2.6345 -1.1712
-0.4813 -1.3810 4.2170
ATOMIC_POSITIONS angstrom
V 0.8648 -1.1868 0.9003
V 2.0611 -2.8286 2.1456
Ir -0.5512 -2.6375 2.6275
Ir 1.6590 -3.3500 -0.4349
! total DFT energy (no corrections) = -9.511 eV/atom
! theoretical density = 14.56 g/cm³
! formation enthalpy at 0 K = -521 meV/atom

---

! V2Ir (GGA-PBE, relaxed); values from VASP
&SYSTEM
  ibrav = 0, nat = 12, ntyp = 2
/
ATOMIC_SPECIES
Ir 192.22 Ir.upf
V 50.94 V.upf
CELL_PARAMETERS angstrom
-2.8886 -3.4221 -2.6461
3.4732 -1.2786 -2.1380
4.0744 -1.8545 7.7281
ATOMIC_POSITIONS angstrom
Ir -0.5846 -3.0239 0.8587
Ir 1.7704 -2.2527 4.2233
Ir 3.1892 -4.5904 3.6538
Ir 1.4698 -1.9647 -0.7097
V 0.8192 -1.1950 2.0455
V 0.3666 -4.0815 3.0365
V 4.5930 -2.7616 4.8406
V 0.0660 -3.7936 -1.8965
V 2.3295 -3.2776 1.4720
V -1.4443 -1.7110 -1.3231
V 0.0000 0.0000 0.0000
V 3.7738 -1.5665 2.7951
! total DFT energy (no corrections) = -9.426 eV/atom
! theoretical density = 11.85 g/cm³
! formation enthalpy at 0 K = -394 meV/atom

---

! V3Ir (GGA-PBE, relaxed); values from VASP
&SYSTEM
  ibrav = 0, nat = 4, ntyp = 2
/
ATOMIC_SPECIES
Ir 192.22 Ir.upf
V 50.94 V.upf
CELL_PARAMETERS angstrom
-2.4495 -0.1396 -1.6775
2.2884 -1.6839 -3.2014
-0.7155 -2.9987 3.9273
ATOMIC_POSITIONS angstrom
Ir 2.0976 -1.5435 -2.9345
V 0.5645 -2.6127 -0.6069
V -0.2713 -0.7714 -2.1726
V -1.8224 -1.9290 0.1887
! total DFT energy (no corrections) = -9.438 eV/atom
! theoretical density = 10.57 g/cm³
! formation enthalpy at 0 K = -384 meV/atom

---

! V2Ir (GGA-PBE, relaxed); values from VASP
&SYSTEM
  ibrav = 0, nat = 6, ntyp = 2
/
ATOMIC_SPECIES
V 50.94 V.upf
Ir 192.22 Ir.upf
CELL_PARAMETERS angstrom
-0.0986 4.8308 -0.5471
-2.3438 -0.2817 1.3174
1.5403 6.2512 5.7104
ATOMIC_POSITIONS angstrom
V -0.4510 5.4002 3.2404
V 0.7702 3.1256 2.8552
V -0.0556 9.2308 5.0177
V -0.8463 1.5695 1.4631
Ir -1.9339 3.8567 1.8964
Ir 1.0320 6.9437 4.5844
! total DFT energy (no corrections) = -9.381 eV/atom
! theoretical density = 11.74 g/cm³
! formation enthalpy at 0 K = -348 meV/atom

---

! V4Ir3 (GGA-PBE, relaxed); values from VASP
&SYSTEM
  ibrav = 0, nat = 7, ntyp = 2
/
ATOMIC_SPECIES
V 50.94 V.upf
Ir 192.22 Ir.upf
CELL_PARAMETERS angstrom
2.7754 0.0000 0.0000
0.0000 3.6520 0.0000
-1.3877 -1.8260 9.6323
ATOMIC_POSITIONS angstrom
V 1.3877 0.0000 4.0672
V 0.0000 1.8260 5.5651
V 0.0000 1.8260 8.3038
V 1.3877 0.0000 1.3285
Ir 1.3877 0.0000 6.8414
Ir 0.0000 1.8260 0.0000
Ir 0.0000 1.8260 2.7909
! total DFT energy (no corrections) = -9.424 eV/atom
! theoretical density = 13.27 g/cm³
! formation enthalpy at 0 K = -416 meV/atom

---

! VIr (GGA-PBE, relaxed); values from VASP
&SYSTEM
  ibrav = 0, nat = 12, ntyp = 2
/
ATOMIC_SPECIES
V 50.94 V.upf
Ir 192.22 Ir.upf
CELL_PARAMETERS angstrom
6.7446 0.0000 0.0000
0.0000 6.7446 0.0000
0.0000 0.0000 6.7446
ATOMIC_POSITIONS angstrom
V 1.6862 0.0000 3.3723
V 5.0585 0.0000 3.3723
V 0.0000 3.3723 1.6862
V 0.0000 3.3723 5.0585
V 3.3723 1.6862 0.0000
V 3.3723 5.0585 0.0000
Ir 1.6862 3.3723 0.0000
Ir 5.0585 3.3723 0.0000
Ir 3.3723 0.0000 1.6862
Ir 3.3723 0.0000 5.0585
Ir 0.0000 1.6862 3.3723
Ir 0.0000 5.0585 3.3723
! total DFT energy (no corrections) = -8.047 eV/atom
! theoretical density = 7.90 g/cm³
! formation enthalpy at 0 K = 942 meV/atom

---

! VIr (GGA-PBE, relaxed); values from VASP
&SYSTEM
  ibrav = 0, nat = 16, ntyp = 2
/
ATOMIC_SPECIES
V 50.94 V.upf
Ir 192.22 Ir.upf
CELL_PARAMETERS angstrom
7.5368 0.0000 0.0000
0.0000 7.5368 0.0000
0.0000 0.0000 7.5368
ATOMIC_POSITIONS angstrom
V 1.0254 1.0254 1.0254
V 1.0254 6.5114 6.5114
V 6.5114 1.0254 6.5114
V 6.5114 6.5114 1.0254
V 4.7938 4.7938 4.7938
V 4.7938 2.7430 2.7430
V 2.7430 4.7938 2.7430
V 2.7430 2.7430 4.7938
Ir 2.4502 2.4502 2.4502
Ir 2.4502 5.0866 5.0866
Ir 5.0866 2.4502 5.0866
Ir 5.0866 5.0866 2.4502
Ir 6.2186 6.2186 6.2186
Ir 6.2186 1.3182 1.3182
Ir 1.3182 6.2186 1.3182
Ir 1.3182 1.3182 6.2186
! total DFT energy (no corrections) = -8.011 eV/atom
! theoretical density = 7.55 g/cm³
! formation enthalpy at 0 K = 979 meV/atom

---

! VIr (GGA-PBE, relaxed); values from VASP
&SYSTEM
  ibrav = 0, nat = 12, ntyp = 2
/
ATOMIC_SPECIES
V 50.94 V.upf
Ir 192.22 Ir.upf
CELL_PARAMETERS angstrom
7.1984 0.0000 0.0000
-3.5992 6.2340 0.0000
0.0000 0.0000 4.1936
ATOMIC_POSITIONS angstrom
V 5.4674 0.3787 1.0484
V 2.4057 4.9243 3.1452
V 4.1367 4.5455 1.0484
V -1.8682 5.8553 3.1452
V 1.1935 1.3097 1.0484
V -0.5375 1.6885 3.1452
Ir -0.8768 2.9271 1.0484
Ir 4.2251 0.7042 3.1452
Ir 1.5027 4.0111 1.0484
Ir 4.4760 3.3069 3.1452
Ir -0.6259 5.5298 1.0484
Ir 2.0965 2.2229 3.1452
! total DFT energy (no corrections) = -9.073 eV/atom
! theoretical density = 12.87 g/cm³
! formation enthalpy at 0 K = -83 meV/atom

---

! VIr (GGA-PBE, relaxed); values from VASP
&SYSTEM
  ibrav = 0, nat = 4, ntyp = 2
/
ATOMIC_SPECIES
Ir 192.22 Ir.upf
V 50.94 V.upf
CELL_PARAMETERS angstrom
-1.4475 2.0981 0.9514
-2.4562 0.1169 -3.9972
-0.9432 -3.8934 3.2585
ATOMIC_POSITIONS angstrom
Ir -1.1282 -0.6858 -0.2028
Ir -3.7187 -0.9925 0.4155
V -3.0395 0.4535 -1.7435
V -1.8074 -2.1319 1.9562
! total DFT energy (no corrections) = -9.395 eV/atom
! theoretical density = 14.45 g/cm³
! formation enthalpy at 0 K = -405 meV/atom

---

! V2Ir (GGA-PBE, relaxed); values from VASP
&SYSTEM
  ibrav = 0, nat = 6, ntyp = 2
/
ATOMIC_SPECIES
Ir 192.22 Ir.upf
V 50.94 V.upf
CELL_PARAMETERS angstrom
-0.2366 3.4445 -2.4960
1.0168 -3.7813 -1.6787
-5.0746 -0.9786 -0.8693
ATOMIC_POSITIONS angstrom
Ir -0.2063 -1.5280 -2.0891
Ir -4.0882 0.2125 -2.9550
V 0.0000 0.0000 0.0000
V -2.5373 -0.4893 -0.4347
V -2.7039 -2.0097 -2.5169
V -1.5906 0.6942 -2.5271
! total DFT energy (no corrections) = -9.407 eV/atom
! theoretical density = 11.86 g/cm³
! formation enthalpy at 0 K = -374 meV/atom

---

! VIr (GGA-PBE, relaxed); values from VASP
&SYSTEM
  ibrav = 0, nat = 16, ntyp = 2
/
ATOMIC_SPECIES
V 50.94 V.upf
Ir 192.22 Ir.upf
CELL_PARAMETERS angstrom
7.5660 0.0000 0.0000
0.0000 7.5660 0.0000
0.0000 0.0000 4.2404
ATOMIC_POSITIONS angstrom
V 6.0390 4.1894 0.0000
V 2.2560 7.1595 2.1202
V 5.3099 0.4064 2.1202
V 1.5269 3.3765 0.0000
V 7.1595 5.3099 2.1202
V 3.3765 6.0390 0.0000
V 4.1894 1.5269 0.0000
V 0.4064 2.2560 2.1202
Ir 5.8340 6.8113 0.0000
Ir 2.0510 4.5377 2.1202
Ir 5.5150 3.0283 2.1202
Ir 1.7320 0.7547 0.0000
Ir 4.5377 5.5150 2.1202
Ir 0.7547 5.8340 0.0000
Ir 6.8113 1.7320 0.0000
Ir 3.0283 2.0510 2.1202
! total DFT energy (no corrections) = -9.201 eV/atom
! theoretical density = 13.31 g/cm³
! formation enthalpy at 0 K = -211 meV/atom

---

! V3Ir (GGA-PBE, relaxed); values from VASP
&SYSTEM
  ibrav = 0, nat = 4, ntyp = 2
/
ATOMIC_SPECIES
Ir 192.22 Ir.upf
V 50.94 V.upf
CELL_PARAMETERS angstrom
3.0122 0.0000 0.0000
0.0000 4.2498 0.0000
0.0000 0.0000 4.2498
ATOMIC_POSITIONS angstrom
Ir 0.0000 2.1249 1.7707
V 0.0000 0.0000 3.8956
V 1.5061 0.0000 1.7707
V 1.5061 2.1249 3.8956
! total DFT energy (no corrections) = -9.429 eV/atom
! theoretical density = 10.53 g/cm³
! formation enthalpy at 0 K = -374 meV/atom

---

! V2Ir (GGA-PBE, relaxed); values from VASP
&SYSTEM
  ibrav = 0, nat = 6, ntyp = 2
/
ATOMIC_SPECIES
Ir 192.22 Ir.upf
V 50.94 V.upf
CELL_PARAMETERS angstrom
-2.0511 -0.3117 -3.9431
-0.9716 -2.6106 0.7117
-4.5682 2.7814 3.9659
ATOMIC_POSITIONS angstrom
Ir -1.5869 0.3679 -0.8169
Ir -5.0323 2.1018 0.8397
V -2.2841 1.3907 1.9830
V -3.0571 -1.1153 -2.4574
V -4.5337 0.9744 3.1920
V -3.7954 -0.0705 0.3673
! total DFT energy (no corrections) = -9.418 eV/atom
! theoretical density = 11.80 g/cm³
! formation enthalpy at 0 K = -385 meV/atom

---

! VIr (GGA-PBE, relaxed); values from VASP
&SYSTEM
  ibrav = 0, nat = 32, ntyp = 2
/
ATOMIC_SPECIES
V 50.94 V.upf
Ir 192.22 Ir.upf
CELL_PARAMETERS angstrom
-5.0459 -1.9879 -3.8337
-1.1135 -0.6129 6.5188
-4.2289 10.2660 0.2428
ATOMIC_POSITIONS angstrom
V -7.3001 7.3971 0.0857
V -3.0883 0.2681 2.8422
V -6.3173 5.0114 0.0293
V -4.0710 2.6538 2.8987
V -6.2976 7.9479 2.9188
V -4.0907 -0.2827 0.0092
V -5.1706 5.2120 2.8541
V -5.2177 2.4532 0.0739
V -8.2330 7.0941 -2.3478
V -2.1553 0.5711 5.2758
V -7.2335 4.6678 -2.4052
V -3.1548 2.9975 5.3332
V -5.2643 8.3129 5.6428
V -5.1241 -0.6477 -2.7148
V -4.1346 5.5706 5.5779
V -6.2537 2.0946 -2.6500
Ir -2.5230 -0.9940 -1.9169
Ir -0.5568 -0.3064 3.2594
Ir -4.6374 4.1390 -1.7955
Ir -2.6712 4.8266 3.3808
Ir -4.5055 -1.9024 1.9641
Ir -6.6199 3.2306 2.0855
Ir -1.6540 -0.6984 0.7210
Ir -3.7684 4.4346 0.8424
Ir -6.6503 6.1581 4.7672
Ir -6.5359 0.3257 -0.6196
Ir -3.7381 1.5071 -1.8393
Ir -3.8524 7.3395 3.5475
Ir -7.6704 5.7992 2.1731
Ir -5.5754 0.6594 2.0005
Ir -2.7179 1.8660 0.7548
Ir -4.8129 7.0058 0.9274
! total DFT energy (no corrections) = -9.497 eV/atom
! theoretical density = 14.47 g/cm³
! formation enthalpy at 0 K = -508 meV/atom

---

! V2Ir (GGA-PBE, relaxed); values from VASP
&SYSTEM
  ibrav = 0, nat = 6, ntyp = 2
/
ATOMIC_SPECIES
Ir 192.22 Ir.upf
V 50.94 V.upf
CELL_PARAMETERS angstrom
-0.5971 -2.2120 -1.4411
0.3231 -3.2941 3.5634
-6.1394 -0.4308 2.3308
ATOMIC_POSITIONS angstrom
Ir -5.4561 -3.8197 1.8776
Ir -0.9574 -2.1172 2.5756
V -3.4362 -2.6251 0.9462
V -2.9773 -3.3119 3.5071
V -5.1729 -4.2805 4.4656
V -1.2406 -1.6564 -0.0123
! total DFT energy (no corrections) = -9.388 eV/atom
! theoretical density = 11.76 g/cm³
! formation enthalpy at 0 K = -356 meV/atom

---

! V2Ir (GGA-PBE, relaxed); values from VASP
&SYSTEM
  ibrav = 0, nat = 6, ntyp = 2
/
ATOMIC_SPECIES
Ir 192.22 Ir.upf
V 50.94 V.upf
CELL_PARAMETERS angstrom
4.8460 0.0000 0.0000
2.4230 4.1967 0.0000
2.4230 1.3989 3.9567
ATOMIC_POSITIONS angstrom
Ir 0.0000 0.0000 0.0000
Ir 2.4230 1.3989 0.9892
V 3.6345 3.4973 2.4730
V 4.8460 1.3989 2.4730
V 6.0575 3.4973 2.4730
V 4.8460 2.7978 0.4946
! total DFT energy (no corrections) = -9.329 eV/atom
! theoretical density = 12.14 g/cm³
! formation enthalpy at 0 K = -296 meV/atom

---

! V3Ir5 (GGA-PBE, relaxed); values from VASP
&SYSTEM
  ibrav = 0, nat = 16, ntyp = 2
/
ATOMIC_SPECIES
V 50.94 V.upf
Ir 192.22 Ir.upf
CELL_PARAMETERS angstrom
-2.3985 -2.2668 1.9838
1.1419 -4.1169 -3.3236
8.1374 -2.9575 6.4592
ATOMIC_POSITIONS angstrom
V 4.6396 -3.5372 1.5678
V 0.0000 0.0000 0.0000
V 2.6966 -5.3987 0.8284
V 4.1842 -3.9425 4.2909
V 0.1605 -2.6260 0.9304
V 6.7203 -6.7152 4.1890
Ir 0.5710 -2.0584 -1.6618
Ir 4.0687 -1.4788 3.2296
Ir 2.6400 -2.8701 -0.0877
Ir 6.6393 -4.2043 3.2233
Ir 2.0365 -0.7999 1.5483
Ir 7.2428 -6.2746 1.5873
Ir 0.6572 -4.6431 -0.7740
Ir 6.2236 -4.6981 5.8933
Ir 2.1910 -3.3496 2.5585
Ir 4.6898 -5.9916 2.5608
! total DFT energy (no corrections) = -9.427 eV/atom
! theoretical density = 16.43 g/cm³
! formation enthalpy at 0 K = -470 meV/atom

---

! VIr (GGA-PBE, relaxed); values from VASP
&SYSTEM
  ibrav = 0, nat = 2, ntyp = 2
/
ATOMIC_SPECIES
Ir 192.22 Ir.upf
V 50.94 V.upf
CELL_PARAMETERS angstrom
2.7490 0.0000 0.0000
0.0000 2.7490 0.0000
0.0000 0.0000 3.6869
ATOMIC_POSITIONS angstrom
Ir 0.0000 0.0000 0.0000
V 1.3745 1.3745 1.8435
! total DFT energy (no corrections) = -9.489 eV/atom
! theoretical density = 14.49 g/cm³
! formation enthalpy at 0 K = -499 meV/atom

---

! V3Ir (GGA-PBE, relaxed); values from VASP
&SYSTEM
  ibrav = 0, nat = 4, ntyp = 2
/
ATOMIC_SPECIES
Ir 192.22 Ir.upf
V 50.94 V.upf
CELL_PARAMETERS angstrom
-1.2638 -0.2754 3.3718
1.6168 -3.2109 0.3437
3.3328 3.6679 -0.3852
ATOMIC_POSITIONS angstrom
Ir 0.0000 0.0000 0.0000
V 1.1228 0.8247 2.4222
V 2.5631 -0.6431 0.9081
V 0.1765 -1.7432 1.8578
! total DFT energy (no corrections) = -9.275 eV/atom
! theoretical density = 10.30 g/cm³
! formation enthalpy at 0 K = -221 meV/atom

---

! V2Ir (GGA-PBE, relaxed); values from VASP
&SYSTEM
  ibrav = 0, nat = 12, ntyp = 2
/
ATOMIC_SPECIES
Ir 192.22 Ir.upf
V 50.94 V.upf
CELL_PARAMETERS angstrom
9.1796 0.0000 0.0000
0.0000 4.2804 0.0000
0.0000 0.0000 4.2188
ATOMIC_POSITIONS angstrom
Ir 6.0077 0.0000 0.0000
Ir 3.1719 0.0000 0.0000
Ir 1.4179 2.1402 0.0000
Ir 7.7618 2.1402 0.0000
V 4.5898 0.0000 2.1094
V 0.0000 2.1402 2.1094
V 7.6672 0.0000 2.1094
V 1.5125 0.0000 2.1094
V 3.0773 2.1402 2.1094
V 6.1023 2.1402 2.1094
V 0.0000 0.0000 0.0000
V 4.5898 2.1402 0.0000
! total DFT energy (no corrections) = -9.392 eV/atom
! theoretical density = 11.78 g/cm³
! formation enthalpy at 0 K = -359 meV/atom

---

! VIr (GGA-PBE, relaxed); values from VASP
&SYSTEM
  ibrav = 0, nat = 8, ntyp = 2
/
ATOMIC_SPECIES
Ir 192.22 Ir.upf
V 50.94 V.upf
CELL_PARAMETERS angstrom
-0.4678 -3.7129 -0.3164
2.2356 -0.0246 -3.0177
6.2926 -1.1909 4.6715
ATOMIC_POSITIONS angstrom
Ir 0.0000 0.0000 0.0000
Ir 2.6909 -0.3100 -0.3410
Ir 4.0302 -2.4642 0.6687
Ir 4.4855 -2.7496 3.3454
V 3.1463 -0.5954 2.3357
V 5.8372 -0.9055 1.9948
V 0.8839 -1.8687 -1.6670
V 1.3392 -2.1542 1.0097
! total DFT energy (no corrections) = -9.435 eV/atom
! theoretical density = 14.45 g/cm³
! formation enthalpy at 0 K = -445 meV/atom